[1]
Material: Rb2MnP2
Method: DFT, PBE
State: relaxed

Computed properties:
**ΔE_f**: 0.520 eV/atom
**Space-group type**: I4/mmm (139)

POSCAR file:
```
Rb2MnP2
1.0
-2.419 1.827 -1.767
0.788 -1.779 -2.919
-9.069 -8.208 0.445
Rb P Mn
2 2 1
Direct
0.628 0.628 0.744
0.372 0.372 0.256
0.250 0.750 0.500
0.750 0.250 0.500
0.000 0.000 0.000
```

=====

[2]
Material: MgBeTl
Method: DFT, PBE
State: relaxed

Computed properties:
**Distance to the lowest polymorph of the same formula**: 9 meV/atom
**ΔE_f**: 0.183 eV/atom
**Space-group type**: C2/m (12)

POSCAR file:
```
MgBeTl
1.0
-2.093 2.844 -1.415
2.024 -2.209 -2.335
-7.165 -7.439 0.823
Tl Be Mg
2 2 2
Direct
0.583 0.791 0.374
0.417 0.209 0.626
0.333 0.667 0.000
0.667 0.333 0.000
0.902 0.951 0.855
0.098 0.049 0.145
```

=====

[3]
Material: PrH2I
Method: DFT, PBE
State: relaxed

Computed properties:
**Distance to the lowest polymorph of the same formula**: 0 meV/atom
**Space-group type**: Pmmn (59)

POSCAR file:
```
PrH2I
1.0
4.014 0.000 0.000
0.000 6.263 0.000
0.000 0.000 5.815
H Pr I
4 2 2
Direct
0.750 0.555 0.410
0.750 0.945 0.410
0.250 0.445 0.590
0.250 0.055 0.590
0.750 0.250 0.629
0.250 0.750 0.371
0.250 0.250 0.097
0.750 0.750 0.903
```

=====

[4]
Material: GeBrCl
Method: DFT, PBE
State: relaxed

Computed properties:
**Formation energy from raw total energies**: -2.0 eV per formula unit
**Space-group type**: P2_1 (4)

POSCAR file:
```
GeBrCl
1.0
-6.194 -1.582 0.262
0.765 -2.297 4.306
-1.294 5.569 3.113
Cl Br Ge
2 2 2
Direct
0.786 0.802 0.415
0.286 0.203 0.581
0.377 0.771 0.055
0.877 0.235 0.940
0.092 0.875 0.747
0.591 0.131 0.249
```

=====

[5]
Material: SmDy12Tm6
Method: DFT, PBE
State: relaxed

Computed properties:
**Distance to the lowest polymorph of the same formula**: 284 meV/atom
**ΔE_f**: 0.440 eV/atom
**Space-group type**: R-3m (166)

POSCAR file:
```
SmDy12Tm6
1.0
8.880 -0.421 -2.542
-3.260 8.271 -2.542
-0.302 -0.421 9.232
Tm Dy Sm
6 12 1
Direct
0.688 0.268 0.688
0.268 0.688 0.688
0.312 0.732 0.312
0.312 0.312 0.732
0.732 0.312 0.312
0.688 0.688 0.268
0.634 0.854 0.634
0.146 0.366 0.366
0.634 0.634 0.854
0.854 0.634 0.634
0.500 0.889 0.111
0.366 0.146 0.366
0.889 0.111 0.500
0.111 0.889 0.500
0.366 0.366 0.146
0.111 0.500 0.889
0.889 0.500 0.111
0.500 0.111 0.889
0.000 0.000 0.000
```

=====

[6]
Material: FeReTe2
Method: DFT, PBE
State: relaxed

Computed properties:
**Distance to the lowest polymorph of the same formula**: 608 meV/atom
**Formation energy from raw total energies**: 3.0 eV per formula unit
**Space-group type**: I-42d (122)

POSCAR file:
```
FeReTe2
1.0
-4.676 3.252 -1.231
-0.015 -2.082 -5.442
-5.807 -3.760 -1.664
Fe Te Re
2 4 2
Direct
0.250 0.750 0.500
0.500 0.500 0.000
0.607 0.125 0.250
0.875 0.857 0.750
0.375 0.393 0.750
0.143 0.625 0.250
0.750 0.250 0.500
0.000 0.000 0.000
```

=====

One value per record, in order, for E_tot: -3.8651, -2.3794, -4.0919, -3.3677, -4.1268, -6.0411 eV per atom.